DFT (PBE) results for crystalline Cd3AgI at its relaxed geometry.

Relative energy among the computed polymorphs, eV per atom: 0.000
Raw total energy, eV/atom: -1.388
E_form (uncorrected), meV per atom: 41.5

a = 5.4292 Å, b = 5.4292 Å, c = 5.4292 Å
α = 90.00°, β = 90.00°, γ = 90.00°
Space group Pm-3m (No. 221)
One atom of each set of equivalent atoms:
Cd  0.0000  0.0000  0.5000 (multiplicity 3)
Ag  0.0000  0.0000  0.0000 (multiplicity 1)
I  0.5000  0.5000  0.5000 (multiplicity 1)